(1)
Below is Tb8CuRu2 after structural relaxation, with properties calculated at the GGA-PBE level.

Cell: 8.3955 12.5715 5.9891 Å, 90.00 108.52 90.00°
Space group Cm (No. 8)
Unique sites:
Tb: 0.0000 0.0000 0.0000 x2
Tb: 0.0780 0.3674 0.7932 x4
Tb: 0.1587 0.1324 0.5892 x4
Tb: 0.2311 0.5000 0.3878 x2
Tb: 0.3632 0.2182 0.1969 x4
Cu: 0.3638 0.0000 0.3638 x2
Ru: 0.3690 0.3106 0.6898 x4

Values from the calculation:
Magnetic moment   0.0 μB/f.u.
E_tot   -61.19 eV per formula unit

=====

(2)
Below is MgInRe2 after structural relaxation, with properties calculated at the GGA-PBE level.

Cell: 5.4386 8.8903 2.8130 Å, 90.00 90.00 90.00°
Space group Cmmm (No. 65)
Unique sites:
Mg: 0.0000 0.0000 0.0000 x2
In: 0.0000 0.5000 0.0000 x2
Re: 0.2500 0.2500 0.5000 x4

Values from the calculation:
Magnetic moment   0.0 μB/f.u.
E_tot   -26.76 eV per formula unit

=====

(3)
Below is Y2InSbRh after structural relaxation, with properties calculated at the GGA-PBE level.

Cell: 5.3411 5.3411 4.9938 Å, 90.00 90.00 90.00°
Space group P4/mmm (No. 123)
Unique sites:
Y: 0.0000 0.5000 0.0000 x2
In: 0.0000 0.0000 0.5000 x1
Sb: 0.5000 0.5000 0.5000 x1
Rh: 0.5000 0.5000 0.0000 x1

Values from the calculation:
Magnetic moment   0.0 μB/f.u.
E_form (uncorrected)   -9.7 kcal/mol of atoms

=====

(4)
Below is SrTaAl2 after structural relaxation, with properties calculated at the GGA-PBE level.

Cell: 9.3357 3.0241 6.6072 Å, 90.00 96.39 90.00°
Space group C2/m (No. 12)
Unique sites:
Sr: 0.0000 0.0000 0.0000 x2
Ta: 0.0000 0.5000 0.5000 x2
Al: 0.2411 0.0000 0.6738 x4

Values from the calculation:
Magnetic moment   0.3 μB/f.u.
E_tot   -20.12 eV per formula unit

=====

(5)
Below is Co2TcB after structural relaxation, with properties calculated at the GGA-PBE level.

Cell: 3.2696 3.2696 16.4004 Å, 90.00 90.00 90.00°
Space group I-42d (No. 122)
Unique sites:
Co: 0.2237 0.2500 0.1250 x8
Tc: 0.0000 0.0000 0.5000 x4
B: 0.0000 0.0000 0.0000 x4

Values from the calculation:
Magnetic moment   0.7 μB/f.u.
E_tot   -29.60 eV per formula unit

=====

(6)
Below is MgBi2 after structural relaxation, with properties calculated at the GGA-PBE level.

Cell: 9.8939 6.1669 6.6770 Å, 90.00 120.57 90.00°
Space group C2/c (No. 15)
Unique sites:
Mg: 0.0000 0.1164 0.2500 x4
Bi: 0.1769 0.3598 0.7478 x8

Values from the calculation:
Magnetic moment   0.0 μB/f.u.
E_tot   -9.36 eV per formula unit

=====

(7)
Below is SrSb3 after structural relaxation, with properties calculated at the GGA-PBE level.

Cell: 4.8011 4.8011 20.5881 Å, 90.00 90.00 90.00°
Space group I4/mmm (No. 139)
Unique sites:
Sr: 0.0000 0.0000 0.1228 x4
Sb: 0.0000 0.0000 0.3856 x4
Sb: 0.0000 0.5000 0.0000 x4
Sb: 0.0000 0.5000 0.2500 x4

Values from the calculation:
Magnetic moment   0.0 μB/f.u.
E_form (uncorrected)   -8.9 kcal/mol of atoms

=====

(8)
Below is Hf3NbRh after structural relaxation, with properties calculated at the GGA-PBE level.

Cell: 15.5199 3.1176 8.3450 Å, 90.00 93.54 90.00°
Space group C2/m (No. 12)
Unique sites:
Hf: 0.0533 0.0000 0.2293 x4
Hf: 0.0926 0.5000 0.5849 x4
Hf: 0.2431 0.5000 0.1674 x4
Nb: 0.0983 0.5000 0.9300 x4
Rh: 0.1971 0.0000 0.4115 x4

Values from the calculation:
Magnetic moment   0.0 μB/f.u.
E_tot   -48.24 eV per formula unit